(1)
# AcScCo2H8 (PBE-GGA, optimized geometry)
# crystal system: trigonal
# M_tot: 0.0 μB/f.u.
# uncorrected energy: -4.58 eV/atom
# space group: R-3 (148)
data_AcScCo2H8
_chemical_formula_sum 'Ac1 Sc1 Co2 H8'
_symmetry_space_group_name_H-M 'P 1'
_symmetry_Int_Tables_number 1
_symmetry_space_group_name_Hall 'P 1'
_cell_length_a 6.456
_cell_length_b 6.456
_cell_length_c 6.456
_cell_angle_alpha 42.20
_cell_angle_beta 42.20
_cell_angle_gamma 42.20
loop_
_atom_site_label
_atom_site_type_symbol
_atom_site_fract_x
_atom_site_fract_y
_atom_site_fract_z
Ac1 Ac 0.000 0.000 0.000
Sc1 Sc 0.500 0.500 0.500
Co1 Co 0.190 0.190 0.190
Co2 Co 0.810 0.810 0.810
H1 H 0.079 0.881 0.405
H2 H 0.119 0.595 0.921
H3 H 0.288 0.288 0.288
H4 H 0.405 0.079 0.881
H5 H 0.595 0.921 0.119
H6 H 0.712 0.712 0.712
H7 H 0.881 0.405 0.079
H8 H 0.921 0.119 0.595

---

(2)
# ErTmSb (PBE-GGA, optimized geometry)
# uncorrected formation energy: -0.602 eV per atom
# crystal system: tetragonal
# M_tot: 1.0 μB/f.u.
# uncorrected energy: -4.99 eV/atom
# space group: I4mm (107)
data_ErTmSb
_chemical_formula_sum 'Er1 Tm1 Sb1'
_symmetry_space_group_name_H-M 'P 1'
_symmetry_Int_Tables_number 1
_symmetry_space_group_name_Hall 'P 1'
_cell_length_a 5.986
_cell_length_b 5.986
_cell_length_c 5.986
_cell_angle_alpha 141.79
_cell_angle_beta 141.79
_cell_angle_gamma 55.14
loop_
_atom_site_label
_atom_site_type_symbol
_atom_site_fract_x
_atom_site_fract_y
_atom_site_fract_z
Er1 Er 0.000 0.000 0.000
Tm1 Tm 0.310 0.310 0.000
Sb1 Sb 0.656 0.656 0.000

---

(3)
# V2TcAu (PBE-GGA, optimized geometry)
# formation energy from the elements: -0.082 eV per atom
# crystal system: tetragonal
# M_tot: 0.0 μB/f.u.
# uncorrected energy: -8.05 eV/atom
# space group: P4/mmm (123)
data_V2TcAu
_chemical_formula_sum 'V2 Tc1 Au1'
_symmetry_space_group_name_H-M 'P 1'
_symmetry_Int_Tables_number 1
_symmetry_space_group_name_Hall 'P 1'
_cell_length_a 3.157
_cell_length_b 3.157
_cell_length_c 5.945
_cell_angle_alpha 90.00
_cell_angle_beta 90.00
_cell_angle_gamma 90.00
loop_
_atom_site_label
_atom_site_type_symbol
_atom_site_fract_x
_atom_site_fract_y
_atom_site_fract_z
V1 V 0.000 0.000 0.226
V2 V 0.000 0.000 0.774
Tc1 Tc 0.500 0.500 0.000
Au1 Au 0.500 0.500 0.500

---

(4)
# RbScF3 (PBE-GGA, optimized geometry)
# uncorrected formation energy: -3.076 eV per atom
# energy above the lowest structure with this stoichiometry: 0.0 meV/atom
# crystal system: cubic
# M_tot: 0.9 μB/f.u.
# uncorrected energy: -5.66 eV/atom
# space group: Pm-3m (221)
data_RbScF3
_chemical_formula_sum 'Rb1 Sc1 F3'
_symmetry_space_group_name_H-M 'P 1'
_symmetry_Int_Tables_number 1
_symmetry_space_group_name_Hall 'P 1'
_cell_length_a 4.362
_cell_length_b 4.362
_cell_length_c 4.362
_cell_angle_alpha 90.00
_cell_angle_beta 90.00
_cell_angle_gamma 90.00
loop_
_atom_site_label
_atom_site_type_symbol
_atom_site_fract_x
_atom_site_fract_y
_atom_site_fract_z
Rb1 Rb 0.000 0.000 0.000
Sc1 Sc 0.500 0.500 0.500
F1 F 0.000 0.500 0.500
F2 F 0.500 0.000 0.500
F3 F 0.500 0.500 0.000